No. 1
DFT (PBE-GGA) results for a relaxed structure of ScIn2Mo.

Output
DOS(E_F): 4.12 states/eV/f.u.
Symmetry: P4mm, No. 99
Crystal system: tetragonal
Density: 7226 kg/m³
Energy above the lowest structure with this stoichiometry: 0.2235 eV per atom

Lattice parameters (Å, degrees): 3.0611 3.0611 9.0877 90.00 90.00 90.00
Last column: nearest neighbours and their distance in Å.
Sites, in units of the cell vectors:
Sc: 0.0000 0.0000 0.0000  4 Mo 2.94, 4 Sc 3.06, 4 In 3.26
In: 0.0000 0.0000 0.5542  4 Mo 2.99, 4 In 3.06
In: 0.5000 0.5000 0.2681  8 In 3.06-3.38, 4 Sc 3.26
Mo: 0.5000 0.5000 0.7817  4 Sc 2.94, 4 In 2.99, 4 Mo 3.06

No. 2
DFT (PBE-GGA) results for a relaxed structure of Al2PBr.

Output
Formation energy (no corrections): -9 kJ/mol of formula units
DOS(E_F): 1.28 states/eV/f.u.
Symmetry: I-42d, No. 122
Crystal system: tetragonal
Density: 3018 kg/m³
Energy above the lowest structure with this stoichiometry: 0.2390 eV per atom

Lattice parameters (Å, degrees): 6.8648 6.8648 7.6983 90.00 90.00 90.00
Last column: nearest neighbours and their distance in Å.
Sites, in units of the cell vectors:
Al: 0.1998 0.7500 0.1250  2 P 2.40
Al: 0.2500 0.1998 0.8750  2 P 2.40
Al: 0.2500 0.3002 0.3750  2 P 2.40
Al: 0.3002 0.7500 0.6250  2 P 2.40
Al: 0.6998 0.2500 0.6250  2 P 2.40
Al: 0.7500 0.6998 0.3750  2 P 2.40
Al: 0.7500 0.8002 0.8750  2 P 2.40
Al: 0.8002 0.2500 0.1250  2 P 2.40
P: 0.0000 0.0000 0.0000  4 Al 2.40
P: 0.0000 0.5000 0.2500  4 Al 2.40
P: 0.5000 0.0000 0.7500  4 Al 2.40
P: 0.5000 0.5000 0.5000  4 Al 2.40
Br: 0.0000 0.0000 0.5000  4 Al 2.85
Br: 0.0000 0.5000 0.7500  4 Al 2.85
Br: 0.5000 0.0000 0.2500  4 Al 2.85
Br: 0.5000 0.5000 0.0000  4 Al 2.85

No. 3
DFT (PBE-GGA) results for a relaxed structure of ReGe3H.

Output
DOS(E_F): 0.00 states/eV/f.u.
Symmetry: Pm-3m, No. 221
Crystal system: cubic
Density: 6094 kg/m³
Energy above the lowest structure with this stoichiometry: 0.0000 eV per atom

Lattice parameters (Å, degrees): 4.7971 4.7971 4.7971 90.00 90.00 90.00
Last column: nearest neighbours and their distance in Å.
Sites, in units of the cell vectors:
Re: 0.0000 0.0000 0.0000  6 Ge 2.40
Ge: 0.0000 0.0000 0.5000  2 Re 2.40
Ge: 0.0000 0.5000 0.0000  2 Re 2.40
Ge: 0.5000 0.0000 0.0000  2 Re 2.40
H: 0.5000 0.5000 0.5000  12 Ge 3.39

No. 4
DFT (PBE-GGA) results for a relaxed structure of BeSiRu2.

Output
Formation energy (no corrections): -48 kJ/mol of formula units
DOS(E_F): 3.39 states/eV/f.u.
Symmetry: Pmmm, No. 47
Crystal system: orthorhombic
Density: 7891 kg/m³
Energy above the lowest structure with this stoichiometry: 0.4310 eV per atom

Lattice parameters (Å, degrees): 2.8567 3.8158 4.6184 90.00 90.00 90.00
Last column: nearest neighbours and their distance in Å.
Sites, in units of the cell vectors:
Be: 0.0000 0.0000 0.0000  4 Ru 2.38
Si: 0.5000 0.0000 0.5000  4 Ru 2.38
Ru: 0.0000 0.5000 0.5000  4 Si 2.38
Ru: 0.5000 0.5000 0.0000  4 Be 2.38

No. 5
DFT (PBE-GGA) results for a relaxed structure of LaMgAu2.

Output
DOS(E_F): 2.59 states/eV/f.u.
E: -15.780 eV per formula unit
Symmetry: P2/m, No. 10
Crystal system: monoclinic
Density: 10290 kg/m³

Lattice parameters (Å, degrees): 3.5456 3.5034 7.2380 90.00 90.15 90.00
Last column: nearest neighbours and their distance in Å.
Sites, in units of the cell vectors:
La: 0.0000 0.0000 0.0000  8 Au 3.24-3.25, 4 La 3.50-3.55, 2 Mg 3.62
Mg: 0.0000 0.0000 0.5000  8 Au 2.92-2.94
Au: 0.4979 0.5000 0.7127  4 Mg 2.92-2.94, 1 Au 3.08, 4 La 3.24-3.25
Au: 0.5021 0.5000 0.2873  4 Mg 2.92-2.94, 1 Au 3.08, 4 La 3.24-3.25

No. 6
DFT (PBE-GGA) results for a relaxed structure of Sr2TlPb.

Output
DOS(E_F): 3.25 states/eV/f.u.
E: -10.116 eV per formula unit
Symmetry: I-42d, No. 122
Crystal system: tetragonal
Density: 6231 kg/m³

Lattice parameters (Å, degrees): 9.0514 9.0514 7.6350 90.00 90.00 90.00
Last column: nearest neighbours and their distance in Å.
Sites, in units of the cell vectors:
Sr: 0.2503 0.2500 0.1250  2 Pb 3.34, 2 Tl 3.34
Sr: 0.2497 0.2500 0.6250  2 Pb 3.34, 2 Tl 3.34
Sr: 0.2500 0.7503 0.3750  2 Pb 3.34, 2 Tl 3.34
Sr: 0.2500 0.7497 0.8750  2 Pb 3.34, 2 Tl 3.34
Sr: 0.7500 0.2497 0.3750  2 Pb 3.34, 2 Tl 3.34
Sr: 0.7500 0.2503 0.8750  2 Pb 3.34, 2 Tl 3.34
Sr: 0.7497 0.7500 0.1250  2 Pb 3.34, 2 Tl 3.34
Sr: 0.7503 0.7500 0.6250  2 Pb 3.34, 2 Tl 3.34
Tl: 0.0000 0.0000 0.0000  4 Sr 3.34
Tl: 0.0000 0.5000 0.2500  4 Sr 3.34
Tl: 0.5000 0.0000 0.7500  4 Sr 3.34
Tl: 0.5000 0.5000 0.5000  4 Sr 3.34
Pb: 0.0000 0.0000 0.5000  4 Sr 3.34
Pb: 0.0000 0.5000 0.7500  4 Sr 3.34
Pb: 0.5000 0.0000 0.2500  4 Sr 3.34
Pb: 0.5000 0.5000 0.0000  4 Sr 3.34

No. 7
DFT (PBE-GGA) results for a relaxed structure of K2LiSb.

Output
Formation energy (no corrections): -93 kJ/mol of formula units
DOS(E_F): 1.37 states/eV/f.u.
Symmetry: Pmm2, No. 25
Crystal system: orthorhombic
Density: 2146 kg/m³
Energy above the lowest structure with this stoichiometry: 0.2372 eV per atom

Lattice parameters (Å, degrees): 3.6854 4.3714 9.9356 90.00 90.00 90.00
Last column: nearest neighbours and their distance in Å.
Sites, in units of the cell vectors:
K: 0.0000 0.0000 0.0000  1 Li 3.11
K: 0.5000 0.5000 0.4070  1 Sb 3.49, 2 K 3.69
Li: 0.0000 0.0000 0.6872  4 Sb 2.94, 1 K 3.11
Sb: 0.5000 0.5000 0.7583  4 Li 2.94

No. 8
DFT (PBE-GGA) results for a relaxed structure of LiSnPS4.

Output
Formation energy (no corrections): -346 kJ/mol of formula units
Symmetry: P2_1/m, No. 11
Crystal system: monoclinic
Density: 2864 kg/m³

Lattice parameters (Å, degrees): 6.9007 6.4479 7.9840 90.00 111.58 90.00
Last column: nearest neighbours and their distance in Å.
Sites, in units of the cell vectors:
Li: 0.2039 0.2500 0.4738  4 S 2.54-2.81
Li: 0.7961 0.7500 0.5262  4 S 2.54-2.81
Sn: 0.2697 0.2500 0.9285  5 S 2.76-3.02
Sn: 0.7303 0.7500 0.0715  5 S 2.76-3.02
P: 0.2568 0.7500 0.6909  4 S 2.02-2.09
P: 0.7432 0.2500 0.3091  4 S 2.02-2.09
S: 0.0768 0.7500 0.8418  1 P 2.02
S: 0.1023 0.7500 0.4213  1 P 2.02
S: 0.4635 0.0010 0.7554  1 P 2.09
S: 0.4635 0.4990 0.7554  1 P 2.09
S: 0.5365 0.5010 0.2446  1 P 2.09
S: 0.5365 0.9990 0.2446  1 P 2.09
S: 0.8977 0.2500 0.5787  1 P 2.02
S: 0.9232 0.2500 0.1582  1 P 2.02

No. 9
DFT (PBE-GGA) results for a relaxed structure of LaSm8Sc2.

Output
DOS(E_F): 17.73 states/eV/f.u.
Symmetry: Immm, No. 71
Crystal system: orthorhombic
Density: 6594 kg/m³
Energy above the lowest structure with this stoichiometry: 0.0000 eV per atom

Lattice parameters (Å, degrees): 9.3056 9.3056 9.3056 145.72 126.47 65.12
Last column: nearest neighbours and their distance in Å.
Sites, in units of the cell vectors:
La: 0.0000 0.0000 0.0000  12 Sm 3.38-3.74
Sm: 0.1517 0.8545 0.2972  3 Sc 3.34-3.47, 1 La 3.38, 6 Sm 3.40-3.71
Sm: 0.1623 0.6623 0.5000  8 Sm 3.46-3.71, 2 Sc 3.49, 2 La 3.74
Sm: 0.3009 0.5000 0.8009  7 Sm 3.34-3.58, 2 Sc 3.56, 2 La 3.73
Sm: 0.4426 0.1455 0.2972  3 Sc 3.34-3.47, 1 La 3.38, 6 Sm 3.40-3.71
Sm: 0.5574 0.8545 0.7028  3 Sc 3.34-3.47, 1 La 3.38, 6 Sm 3.40-3.71
Sm: 0.6991 0.5000 0.1991  7 Sm 3.34-3.58, 2 Sc 3.56, 2 La 3.73
Sm: 0.8377 0.3377 0.5000  8 Sm 3.46-3.71, 2 Sc 3.49, 2 La 3.74
Sm: 0.8483 0.1455 0.7028  3 Sc 3.34-3.47, 1 La 3.38, 6 Sm 3.40-3.71
Sc: 0.2999 0.2999 0.0000  10 Sm 3.34-3.56
Sc: 0.7001 0.7001 0.0000  10 Sm 3.34-3.56

No. 10
DFT (PBE-GGA) results for a relaxed structure of BaOsW.

Output
DOS(E_F): 4.07 states/eV/f.u.
Symmetry: I4mm, No. 107
Crystal system: tetragonal
Density: 11982 kg/m³
Energy above the lowest structure with this stoichiometry: 0.0070 eV per atom

Lattice parameters (Å, degrees): 3.2896 3.2896 13.0983 90.00 90.00 90.00
Last column: nearest neighbours and their distance in Å.
Sites, in units of the cell vectors:
Ba: 0.0000 0.0000 0.0000  4 Ba 3.29, 4 Os 3.55, 4 W 3.63
Ba: 0.5000 0.5000 0.5000  4 Ba 3.29, 4 Os 3.55, 4 W 3.63
Os: 0.0000 0.0000 0.2951  4 W 2.56
Os: 0.5000 0.5000 0.7951  4 W 2.56
W: 0.0000 0.0000 0.7130  4 Os 2.56
W: 0.5000 0.5000 0.2130  4 Os 2.56

No. 11
DFT (PBE-GGA) results for a relaxed structure of BaNaGa2Si2.

Output
Formation energy (no corrections): -142 kJ/mol of formula units
DOS(E_F): 1.34 states/eV/f.u.
Symmetry: P-3m1, No. 164
Crystal system: trigonal
Density: 3928 kg/m³

Lattice parameters (Å, degrees): 4.2000 4.2000 9.8485 90.00 90.00 120.00
Last column: nearest neighbours and their distance in Å.
Sites, in units of the cell vectors:
Ba: 0.0000 0.0000 0.0000  6 Si 3.54, 6 Ga 3.56
Na: 0.0000 0.0000 0.5000  6 Ga 3.35, 6 Si 3.37
Ga: 0.3333 0.6667 0.7354  3 Si 2.42-2.43
Ga: 0.6667 0.3333 0.2646  3 Si 2.42-2.43
Si: 0.3333 0.6667 0.2620  3 Ga 2.42-2.43
Si: 0.6667 0.3333 0.7380  3 Ga 2.42-2.43

> Which formula does entry 2 have?

Al2PBr

> What is the density in the fifth record?

10290 kg/m³